Compound: Ce3Te5Se12
Source: Alexandria via LeMat-Bulk
Functional: PBE
Structure: optimized geometry

Results
Energy in eV/atom: -4.253
SG: Ia-3d
Mass density in g/cm³: 5.29
Magnetic moment in μB per atom: 0.13
ΔE_f (raw) in kcal/mol of atoms: -11.23

a = 14.848 Å, b = 14.848 Å, c = 14.848 Å
α = 109.47°, β = 109.47°, γ = 109.47°
Last column: magnetic moment on the atom in μB.
Sites, in units of the cell vectors:
1 Se 0.854 0.578 0.913  -0.01
2 Te 0.375 0.250 0.125  0.03
3 Te 0.000 0.000 0.500  0.02
4 Ce 0.375 0.750 0.625  0.80
5 Ce 0.375 0.625 0.250  0.80
6 Se 0.559 0.336 0.913  -0.01
7 Se 0.836 0.922 0.276  -0.01
8 Se 0.724 0.578 0.164  -0.01
9 Ce 0.875 0.750 0.125  0.80
10 Te 0.375 0.125 0.750  0.03
11 Se 0.078 0.164 0.224  -0.01
12 Se 0.146 0.422 0.087  -0.01
13 Se 0.559 0.224 0.146  -0.01
14 Te 0.500 0.000 0.000  0.02
15 Ce 0.625 0.375 0.750  0.80
16 Te 0.625 0.750 0.875  0.03
17 Te 0.500 0.500 0.000  0.02
18 Ce 0.625 0.250 0.375  0.80
19 Se 0.354 0.413 0.078  -0.01
20 Se 0.941 0.587 0.164  -0.01
21 Se 0.276 0.854 0.941  -0.01
22 Se 0.913 0.836 0.559  -0.01
23 Se 0.836 0.913 0.059  -0.01
24 Ce 0.250 0.625 0.875  0.80
25 Se 0.276 0.422 0.836  -0.01
26 Te 0.750 0.125 0.875  0.03
27 Se 0.059 0.413 0.836  -0.01
28 Te 0.000 0.500 0.000  0.02
29 Se 0.664 0.441 0.587  -0.01
30 Se 0.164 0.087 0.941  -0.01
31 Se 0.146 0.724 0.559  -0.01
32 Se 0.224 0.664 0.078  -0.01
33 Ce 0.125 0.250 0.875  0.80
34 Te 0.000 0.500 0.500  0.02
35 Se 0.913 0.078 0.854  -0.01
36 Se 0.941 0.354 0.276  -0.01
37 Se 0.224 0.559 0.646  -0.01
38 Te 0.875 0.250 0.625  0.03
39 Se 0.354 0.941 0.776  -0.01
40 Se 0.441 0.664 0.087  -0.01
41 Se 0.587 0.646 0.422  -0.01
42 Ce 0.250 0.125 0.375  0.80
43 Te 0.000 0.000 0.000  0.02
44 Te 0.500 0.500 0.500  0.02
45 Te 0.625 0.875 0.250  0.03
46 Se 0.646 0.587 0.922  -0.01
47 Se 0.422 0.276 0.336  -0.01
48 Se 0.164 0.078 0.724  -0.01
49 Se 0.776 0.441 0.354  -0.01
50 Se 0.087 0.164 0.441  -0.01
51 Se 0.922 0.836 0.776  -0.01
52 Se 0.336 0.559 0.413  -0.01
53 Se 0.422 0.146 0.587  -0.01
54 Se 0.087 0.922 0.146  -0.01
55 Se 0.413 0.059 0.336  -0.01
56 Se 0.664 0.224 0.578  -0.01
57 Se 0.776 0.336 0.922  -0.01
58 Ce 0.125 0.875 0.750  0.80
59 Te 0.750 0.625 0.375  0.03
60 Se 0.922 0.087 0.646  -0.01
61 Se 0.413 0.354 0.578  -0.01
62 Se 0.854 0.276 0.441  -0.01
63 Te 0.125 0.750 0.375  0.03
64 Ce 0.875 0.125 0.250  0.80
65 Te 0.500 0.000 0.500  0.02
66 Se 0.078 0.913 0.354  -0.01
67 Te 0.250 0.375 0.625  0.03
68 Se 0.646 0.059 0.224  -0.01
69 Se 0.587 0.941 0.664  -0.01
70 Se 0.578 0.854 0.413  -0.01
71 Se 0.578 0.724 0.664  -0.01
72 Te 0.125 0.375 0.250  0.03
73 Te 0.875 0.625 0.750  0.03
74 Se 0.059 0.646 0.724  -0.01
75 Ce 0.750 0.875 0.625  0.80
76 Ce 0.750 0.375 0.125  0.80
77 Se 0.724 0.146 0.059  -0.01
78 Te 0.250 0.875 0.125  0.03
79 Se 0.336 0.776 0.422  -0.01
80 Se 0.441 0.776 0.854  -0.01

Compound: Ce5TeSe4
Source: Alexandria via LeMat-Bulk
Functional: PBE
Structure: optimized geometry

Results
Energy in eV/atom: -6.378
SG: Immm
Mass density in g/cm³: 6.94
Magnetic moment in μB per atom: 0.48
ΔE_f (raw) in kcal/mol of atoms: -39.27

a = 4.246 Å, b = 6.041 Å, c = 11.286 Å
α = 105.52°, β = 100.84°, γ = 90.00°
Last column: magnetic moment on the atom in μB.
Sites, in units of the cell vectors:
1 Ce 0.392 0.892 0.784  0.83
2 Ce 0.199 0.699 0.398  0.81
3 Ce 0.801 0.301 0.602  0.81
4 Se 0.600 0.600 0.200  -0.02
5 Se 0.400 0.400 0.800  -0.02
6 Ce 0.000 0.500 0.000  0.81
7 Ce 0.608 0.108 0.216  0.83
8 Se 0.204 0.204 0.407  -0.02
9 Te 0.000 0.000 0.000  -0.02
10 Se 0.796 0.796 0.593  -0.02

Compound: CeTeSe3
Source: Alexandria via LeMat-Bulk
Functional: PBE
Structure: optimized geometry

Results
Energy in eV/atom: -4.767
SG: P2_1/m
Mass density in g/cm³: 5.36
Magnetic moment in μB per atom: 0.03
ΔE_f (raw) in kcal/mol of atoms: -19.86

a = 4.142 Å, b = 7.981 Å, c = 9.822 Å
α = 90.00°, β = 90.00°, γ = 105.61°
Last column: magnetic moment on the atom in μB.
Sites, in units of the cell vectors:
1 Se 0.233 0.865 0.931  -0.01
2 Se 0.431 0.291 0.750  -0.02
3 Te 0.088 0.370 0.250  -0.01
4 Ce 0.814 0.034 0.750  0.20
5 Se 0.569 0.709 0.250  -0.02
6 Te 0.912 0.630 0.750  -0.01
7 Se 0.767 0.135 0.431  -0.01
8 Se 0.767 0.135 0.069  -0.01
9 Se 0.233 0.865 0.569  -0.01
10 Ce 0.186 0.966 0.250  0.20

Compound: Ce3TeSe3
Source: Alexandria via LeMat-Bulk
Functional: PBE
Structure: optimized geometry

Results
Energy in eV/atom: -6.137
SG: R-3
Mass density in g/cm³: 6.15
Magnetic moment in μB per atom: 0.53
ΔE_f (raw) in kcal/mol of atoms: -38.09

a = 9.059 Å, b = 9.059 Å, c = 7.934 Å
α = 55.19°, β = 55.19°, γ = 60.00°
Last column: magnetic moment on the atom in μB.
Sites, in units of the cell vectors:
1 Te 0.666 0.666 0.003  -0.04
2 Te 0.334 0.334 0.997  -0.04
3 Ce 0.073 0.717 0.765  1.05
4 Se 0.801 0.096 0.728  -0.03
5 Se 0.375 0.801 0.728  -0.03
6 Se 0.096 0.375 0.728  -0.03
7 Se 0.904 0.625 0.272  -0.03
8 Se 0.625 0.199 0.272  -0.03
9 Ce 0.927 0.283 0.235  1.05
10 Ce 0.444 0.073 0.765  1.05
11 Ce 0.556 0.927 0.235  1.05
12 Se 0.199 0.904 0.272  -0.03
13 Ce 0.717 0.444 0.765  1.05
14 Ce 0.283 0.556 0.235  1.05